1.
This record from Alexandria describes crystalline ZnHg2W at its relaxed geometry. The functional is PBE-GGA.

It has space group Imm2 (No. 44), with a = 2.919 Å, b = 5.064 Å, c = 10.263 Å, α = 90.00°, β = 90.00° and γ = 90.00°. Symmetry generates all atoms from Zn at (0.000, 0.000, 0.000), Hg at (0.000, 0.000, 0.467), Hg at (0.000, 0.500, 0.241) and W at (0.000, 0.500, 0.717).

As for the crystal system: orthorhombic. As for the formation energy from the elements: 0.64 eV/atom. The electronic total energy comes out at -3.063 eV/atom. As for the total magnetization: 0.6 μB/cell.

---

2.
This record from Alexandria describes crystalline ZnHg2W at its relaxed geometry. The functional is PBE-GGA.

It has space group Pm (No. 6), with a = 2.883 Å, b = 4.406 Å, c = 5.983 Å, α = 90.00°, β = 103.09° and γ = 90.00°. Symmetry generates all atoms from Zn at (0.000, 0.000, 0.000), Hg at (0.150, 0.500, 0.288), Hg at (0.792, 0.000, 0.553) and W at (0.422, 0.500, 0.827).

As for the crystal system: monoclinic. As for the formation energy from the elements: 0.62 eV/atom. The electronic total energy comes out at -3.087 eV/atom. As for the total magnetization: 0.0 μB/cell.

---

3.
This record from Alexandria describes crystalline ZnHg2W at its relaxed geometry. The functional is PBE-GGA.

It has space group I4/mmm (No. 139), with a = 3.997 Å, b = 3.997 Å, c = 9.242 Å, α = 90.00°, β = 90.00° and γ = 90.00°. Symmetry generates all atoms from Zn at (0.000, 0.000, 0.000), Hg at (0.000, 0.500, 0.250) and W at (0.000, 0.000, 0.500).

As for the crystal system: tetragonal. As for the formation energy from the elements: 0.80 eV/atom. The electronic total energy comes out at -2.903 eV/atom. As for the total magnetization: 0.0 μB/cell.

---

4.
This record from Alexandria describes crystalline ZnHg2W at its relaxed geometry. The functional is PBE-GGA.

It has space group I-42d (No. 122), with a = 4.007 Å, b = 4.007 Å, c = 20.000 Å, α = 90.00°, β = 90.00° and γ = 90.00°. Symmetry generates all atoms from Zn at (0.000, 0.000, 0.000), Hg at (0.249, 0.250, 0.625) and W at (0.000, 0.000, 0.500).

As for the crystal system: tetragonal. As for the formation energy from the elements: 0.96 eV/atom. The electronic total energy comes out at -2.747 eV/atom. As for the total magnetization: 2.4 μB/cell.

---

5.
This record from Alexandria describes crystalline ZnHgW at its relaxed geometry. The functional is PBE-GGA.

It has space group Fmm2 (No. 42), with a = 3.341 Å, b = 4.527 Å, c = 13.800 Å, α = 90.00°, β = 90.00° and γ = 90.00°. Symmetry generates all atoms from Zn at (0.000, 0.000, 0.000), Hg at (0.000, 0.000, 0.672) and W at (0.000, 0.000, 0.349).

The energy above the most stable polymorph in this dataset is 6 meV/atom. As for the crystal system: orthorhombic. As for the formation energy from the elements: 0.52 eV/atom. The electronic total energy comes out at -4.320 eV/atom. As for the total magnetization: 0.0 μB/cell.

---

6.
This record from Alexandria describes crystalline Zn3HgW at its relaxed geometry. The functional is PBE-GGA.

It has space group Pm-3m (No. 221), with a = 5.090 Å, b = 5.090 Å, c = 5.090 Å, α = 90.00°, β = 90.00° and γ = 90.00°. Symmetry generates all atoms from Zn at (0.000, 0.000, 0.500), Hg at (0.500, 0.500, 0.500) and W at (0.000, 0.000, 0.000).

The energy above the most stable polymorph in this dataset is 0 meV/atom. As for the crystal system: cubic. As for the formation energy from the elements: 1.11 eV/atom. The electronic total energy comes out at -2.310 eV/atom. As for the total magnetization: 3.0 μB/cell.

---

> What is the formula in the fourth record?

ZnHg2W

---

> Number 1 is which compound?

ZnHg2W

---

> Among the records above, which one has the highest total magnetization?

Zn3HgW